[1]
{"formula": "TlSiTe2", "functional": "PBE", "state": "optimized geometry", "energy_ev_per_atom": -3.268, "formation_energy_uncorrected_ev_per_atom": 0.25, "magnetic_moment_mub_per_fu": 0.0, "lattice": [[3.514, 0.000, 0.000], [0.000, 3.739, 0.000], [0.000, 0.000, 8.464]], "species": ["Tl", "Si", "Te", "Te"], "frac_coords": [[0.000, 0.000, 0.000], [0.000, 0.000, 0.500], [0.500, 0.500, 0.296], [0.500, 0.500, 0.704]]}

[2]
{"formula": "Tl2SiTe", "functional": "PBE", "state": "optimized geometry", "energy_ev_per_atom": -3.141, "e_above_lowest_polymorph_ev_per_fu": 0.22, "formation_energy_uncorrected_ev_per_atom": 0.18, "magnetic_moment_mub_per_fu": 0.0, "lattice": [[3.900, 0.000, 0.000], [0.000, 3.900, 0.000], [0.000, 0.000, 7.618]], "species": ["Tl", "Tl", "Si", "Te"], "frac_coords": [[0.000, 0.000, 0.000], [0.500, 0.500, 0.298], [0.000, 0.000, 0.586], [0.500, 0.500, 0.711]]}

[3]
{"formula": "TlSi2Te", "functional": "PBE", "state": "optimized geometry", "energy_ev_per_atom": -3.521, "e_above_lowest_polymorph_ev_per_fu": 1.19, "formation_energy_uncorrected_ev_per_atom": 0.57, "magnetic_moment_mub_per_fu": 0.0, "lattice": [[6.147, 0.000, 0.000], [0.000, 6.147, 0.000], [0.000, 0.000, 13.124]], "species": ["Tl", "Tl", "Tl", "Tl", "Si", "Si", "Si", "Si", "Si", "Si", "Si", "Si", "Te", "Te", "Te", "Te"], "frac_coords": [[0.000, 0.000, 0.000], [0.000, 0.500, 0.250], [0.500, 0.000, 0.750], [0.500, 0.500, 0.500], [0.243, 0.250, 0.125], [0.250, 0.743, 0.375], [0.250, 0.757, 0.875], [0.257, 0.250, 0.625], [0.743, 0.750, 0.625], [0.750, 0.243, 0.875], [0.750, 0.257, 0.375], [0.757, 0.750, 0.125], [0.000, 0.000, 0.500], [0.000, 0.500, 0.750], [0.500, 0.000, 0.250], [0.500, 0.500, 0.000]]}

[4]
{"formula": "TlSiTe2", "functional": "PBE", "state": "optimized geometry", "energy_ev_per_atom": -3.109, "formation_energy_uncorrected_ev_per_atom": 0.41, "magnetic_moment_mub_per_fu": 0.0, "lattice": [[6.384, 0.000, 0.000], [0.000, 11.058, 0.000], [-0.873, 0.000, 3.093]], "species": ["Tl", "Tl", "Si", "Si", "Te", "Te", "Te", "Te"], "frac_coords": [[0.000, 0.000, 0.000], [0.500, 0.500, 0.000], [0.000, 0.500, 0.000], [0.500, 0.000, 0.000], [0.250, 0.250, 0.500], [0.250, 0.750, 0.500], [0.750, 0.250, 0.500], [0.750, 0.750, 0.500]]}

[5]
{"formula": "TlSi2Te", "functional": "PBE", "state": "optimized geometry", "energy_ev_per_atom": -3.564, "e_above_lowest_polymorph_ev_per_fu": 1.02, "formation_energy_uncorrected_ev_per_atom": 0.52, "magnetic_moment_mub_per_fu": 0.0, "lattice": [[8.130, 0.000, 0.000], [0.000, 8.031, 0.000], [-0.397, 0.000, 2.960]], "species": ["Tl", "Tl", "Si", "Si", "Si", "Si", "Te", "Te"], "frac_coords": [[0.000, 0.000, 0.000], [0.500, 0.500, 0.000], [0.250, 0.250, 0.000], [0.250, 0.750, 0.000], [0.750, 0.250, 0.000], [0.750, 0.750, 0.000], [0.000, 0.500, 0.000], [0.500, 0.000, 0.000]]}

[6]
{"formula": "Tl2Si2Te", "functional": "PBE", "state": "optimized geometry", "energy_ev_per_atom": -3.533, "e_above_lowest_polymorph_ev_per_fu": 0.00, "formation_energy_uncorrected_ev_per_atom": 0.21, "magnetic_moment_mub_per_fu": 0.0, "lattice": [[3.435, 0.000, 0.000], [0.000, 3.435, 0.000], [0.000, 0.000, 22.802]], "species": ["Tl", "Tl", "Tl", "Tl", "Si", "Si", "Si", "Si", "Te", "Te"], "frac_coords": [[0.000, 0.000, 0.123], [0.000, 0.000, 0.877], [0.500, 0.500, 0.377], [0.500, 0.500, 0.623], [0.000, 0.500, 0.250], [0.000, 0.500, 0.750], [0.500, 0.000, 0.250], [0.500, 0.000, 0.750], [0.000, 0.000, 0.500], [0.500, 0.500, 0.000]]}

[7]
{"formula": "Tl4SiTe", "functional": "PBE", "state": "optimized geometry", "energy_ev_per_atom": -2.588, "formation_energy_uncorrected_ev_per_atom": 0.42, "magnetic_moment_mub_per_fu": 0.0, "lattice": [[0.000, 4.533, 4.533], [4.533, 0.000, 4.533], [4.533, 4.533, 0.000]], "species": ["Tl", "Tl", "Tl", "Tl", "Si", "Te"], "frac_coords": [[0.125, 0.125, 0.125], [0.125, 0.125, 0.625], [0.125, 0.625, 0.125], [0.625, 0.125, 0.125], [0.500, 0.500, 0.500], [0.750, 0.750, 0.750]]}

[8]
{"formula": "Tl2SiTe", "functional": "PBE", "state": "optimized geometry", "energy_ev_per_atom": -3.020, "e_above_lowest_polymorph_ev_per_fu": 0.70, "formation_energy_uncorrected_ev_per_atom": 0.30, "magnetic_moment_mub_per_fu": 0.0, "lattice": [[3.249, 0.000, 0.000], [0.000, 5.250, 0.000], [0.000, 0.000, 6.545]], "species": ["Tl", "Tl", "Si", "Te"], "frac_coords": [[0.000, 0.000, 0.240], [0.000, 0.000, 0.760], [0.500, 0.500, 0.000], [0.500, 0.500, 0.500]]}